Density functional theory data (PBE-GGA) for a relaxed structure of Pm2H2Pb.

a b c (Å): 4.141 4.141 6.292
angles (deg): 109.21 109.21 90.00
Sites, in units of the cell vectors:
Pm1 0.346 0.346 0.692
Pm2 0.654 0.654 0.308
Pb1 0.000 0.000 0.000
H1 0.750 0.250 0.500
H2 0.250 0.750 0.500

- Final energy: -4.63 eV/atom
- Space group: I4/mmm, No. 139
- Total moment: 0.000 Bohr magnetons per cell

Density functional theory data (PBE-GGA) for a relaxed structure of ZrReRu2.

a b c (Å): 4.671 4.671 2.972
angles (deg): 90.00 90.00 101.80
Sites, in units of the cell vectors:
Ru1 0.500 0.500 0.000
Ru2 0.000 0.000 0.000
Re1 0.000 0.500 0.500
Zr1 0.500 0.000 0.500

- ΔE_f: -0.057 eV/atom
- Space group: Cmmm, No. 65
- Total moment: 0.000 Bohr magnetons per cell

Density functional theory data (PBE-GGA) for a relaxed structure of Ag2IF.

a b c (Å): 4.669 4.669 4.516
angles (deg): 90.00 90.00 90.00
Sites, in units of the cell vectors:
I1 0.000 0.000 0.000
F1 0.500 0.500 0.500
Ag1 0.000 0.500 0.369
Ag2 0.500 0.000 0.631

- Final energy: -2.86 eV/atom
- Space group: P-4m2, No. 115
- Total moment: 0.000 Bohr magnetons per cell

Density functional theory data (PBE-GGA) for a relaxed structure of TbIn6Ag12.

a b c (Å): 7.826 7.826 7.826
angles (deg): 105.26 105.26 105.26
Sites, in units of the cell vectors:
Ag1 0.350 0.350 0.111
Ag2 0.889 0.650 0.650
Ag3 0.650 0.889 0.650
Ag4 0.350 0.111 0.350
Ag5 0.889 0.111 0.500
Ag6 0.500 0.111 0.889
Ag7 0.500 0.889 0.111
Ag8 0.111 0.889 0.500
Ag9 0.111 0.500 0.889
Ag10 0.889 0.500 0.111
Ag11 0.111 0.350 0.350
Ag12 0.650 0.650 0.889
In1 0.299 0.704 0.704
In2 0.701 0.296 0.296
In3 0.296 0.296 0.701
In4 0.704 0.299 0.704
In5 0.296 0.701 0.296
In6 0.704 0.704 0.299
Tb1 0.000 0.000 0.000

- ΔE_f: 0.038 eV/atom
- Space group: R-3m, No. 166
- Total moment: 0.000 Bohr magnetons per cell

Density functional theory data (PBE-GGA) for a relaxed structure of La2Y3Tm6.

a b c (Å): 6.085 6.089 11.748
angles (deg): 85.03 80.01 60.02
Sites, in units of the cell vectors:
Y1 0.665 0.670 0.000
Y2 0.000 0.000 0.000
Y3 0.335 0.330 0.000
Tm1 0.585 0.333 0.245
Tm2 0.252 0.000 0.245
Tm3 0.918 0.667 0.245
Tm4 0.415 0.667 0.755
Tm5 0.748 0.000 0.755
Tm6 0.082 0.333 0.755
La1 0.833 0.334 0.500
La2 0.167 0.666 0.500

- ΔE_f: 0.192 eV/atom
- Space group: C2/m, No. 12
- Total moment: 0.010 Bohr magnetons per cell

Density functional theory data (PBE-GGA) for a relaxed structure of CuSbRu.

a b c (Å): 4.158 4.158 6.048
angles (deg): 90.00 90.00 90.00
Sites, in units of the cell vectors:
Ru1 0.000 0.000 0.500
Ru2 0.500 0.500 0.500
Cu1 0.000 0.500 0.789
Cu2 0.500 0.000 0.211
Sb1 0.500 0.000 0.776
Sb2 0.000 0.500 0.224

- Final energy: -5.86 eV/atom
- Space group: P4/nmm, No. 129
- Total moment: 0.000 Bohr magnetons per cell

Density functional theory data (PBE-GGA) for a relaxed structure of RbBr2O4.

a b c (Å): 4.815 7.812 4.815
angles (deg): 92.58 90.62 87.42
Sites, in units of the cell vectors:
Br1 0.524 0.281 0.476
Br2 0.476 0.719 0.524
O1 0.135 0.774 0.456
O2 0.865 0.226 0.544
O3 0.544 0.774 0.865
O4 0.456 0.226 0.135
Rb1 0.000 0.000 0.000

- Final energy: -3.70 eV/atom
- Space group: C2/m, No. 12
- Total moment: 1.022 Bohr magnetons per cell

Density functional theory data (PBE-GGA) for a relaxed structure of Pr8Co2Si.

a b c (Å): 6.530 7.675 7.675
angles (deg): 114.09 101.04 101.04
Sites, in units of the cell vectors:
Pr1 0.367 0.920 0.648
Pr2 0.976 0.209 0.796
Pr3 0.585 0.354 0.083
Pr4 0.976 0.796 0.209
Pr5 0.585 0.083 0.354
Pr6 0.793 0.650 0.650
Pr7 0.186 0.367 0.367
Pr8 0.367 0.648 0.920
Si1 0.191 0.006 0.006
Co1 0.488 0.690 0.310
Co2 0.488 0.310 0.690

- Final energy: -5.30 eV/atom
- Space group: Cm, No. 8
- Total moment: 0.001 Bohr magnetons per cell

Density functional theory data (PBE-GGA) for a relaxed structure of CuPb2W.

a b c (Å): 6.209 6.209 6.209
angles (deg): 151.35 132.30 56.60
Sites, in units of the cell vectors:
Cu1 0.727 0.227 0.500
Pb1 0.266 0.766 0.500
Pb2 0.973 0.973 0.000
W1 0.534 0.534 0.000

- ΔE_f: 0.796 eV/atom
- Space group: Imm2, No. 44
- Total moment: 0.001 Bohr magnetons per cell

Density functional theory data (PBE-GGA) for a relaxed structure of Ca3ScPd.

a b c (Å): 5.547 5.547 5.547
angles (deg): 90.00 90.00 90.00
Sites, in units of the cell vectors:
Ca1 0.000 0.500 0.000
Ca2 0.500 0.000 0.000
Ca3 0.000 0.000 0.500
Pd1 0.000 0.000 0.000
Sc1 0.500 0.500 0.500

- ΔE_f: -0.032 eV/atom
- Space group: Pm-3m, No. 221
- Total moment: 0.000 Bohr magnetons per cell

Density functional theory data (PBE-GGA) for a relaxed structure of TePO2.

a b c (Å): 6.752 6.752 6.752
angles (deg): 27.98 27.98 27.98
Sites, in units of the cell vectors:
O1 0.885 0.885 0.885
O2 0.115 0.115 0.115
Te1 0.000 0.000 0.000
P1 0.500 0.500 0.500

- Final energy: -4.84 eV/atom
- Space group: R-3m, No. 166
- Total moment: 0.000 Bohr magnetons per cell

Density functional theory data (PBE-GGA) for a relaxed structure of Cs3EuCl6.

a b c (Å): 8.474 8.474 8.474
angles (deg): 60.00 60.00 60.00
Sites, in units of the cell vectors:
Cl1 0.227 0.227 0.773
Cl2 0.773 0.227 0.773
Cl3 0.227 0.773 0.227
Cl4 0.773 0.227 0.227
Cl5 0.227 0.773 0.773
Cl6 0.773 0.773 0.227
Cs1 0.500 0.500 0.500
Cs2 0.250 0.250 0.250
Cs3 0.750 0.750 0.750
Eu1 0.000 0.000 0.000

- Final energy: -4.33 eV/atom
- Space group: Fm-3m, No. 225
- Total moment: 5.997 Bohr magnetons per cell

Density functional theory data (PBE-GGA) for a relaxed structure of RbSiRh3.

a b c (Å): 4.619 4.619 4.619
angles (deg): 90.00 90.00 90.00
Sites, in units of the cell vectors:
Rh1 0.500 0.000 0.000
Rh2 0.000 0.500 0.000
Rh3 0.000 0.000 0.500
Si1 0.000 0.000 0.000
Rb1 0.500 0.500 0.500

- Final energy: -5.38 eV/atom
- Space group: Pm-3m, No. 221
- Total moment: 1.145 Bohr magnetons per cell

Density functional theory data (PBE-GGA) for a relaxed structure of RbBiP2O8.

a b c (Å): 5.018 5.018 9.066
angles (deg): 90.00 90.00 120.00
Sites, in units of the cell vectors:
P1 0.667 0.333 0.292
P2 0.333 0.667 0.708
O1 0.314 0.951 0.648
O2 0.637 0.686 0.648
O3 0.333 0.667 0.874
O4 0.049 0.363 0.648
O5 0.363 0.314 0.352
O6 0.951 0.637 0.352
O7 0.667 0.333 0.126
O8 0.686 0.049 0.352
Bi1 0.000 0.000 0.500
Rb1 0.000 0.000 0.000

- Final energy: -6.43 eV/atom
- Space group: P-3, No. 147
- Total moment: 0.000 Bohr magnetons per cell

Density functional theory data (PBE-GGA) for a relaxed structure of La2GeBPd6.

a b c (Å): 5.827 7.221 7.225
angles (deg): 47.59 66.14 89.97
Sites, in units of the cell vectors:
Pd1 0.776 0.734 0.956
Pd2 0.735 0.778 0.533
Pd3 0.266 0.733 0.955
Pd4 0.224 0.266 0.044
Pd5 0.265 0.222 0.467
Pd6 0.734 0.267 0.045
B1 0.500 0.500 0.000
La1 0.724 0.275 0.551
La2 0.276 0.725 0.449
Ge1 0.000 0.000 0.000

- ΔE_f: -0.727 eV/atom
- Space group: C2/m, No. 12
- Total moment: 0.000 Bohr magnetons per cell

Density functional theory data (PBE-GGA) for a relaxed structure of CaRe2Tc.

a b c (Å): 5.425 5.425 2.658
angles (deg): 90.00 90.00 120.96
Sites, in units of the cell vectors:
Ca1 0.000 0.500 0.500
Re1 0.000 0.000 0.000
Re2 0.500 0.500 0.000
Tc1 0.500 0.000 0.500

- ΔE_f: 0.753 eV/atom
- Space group: Cmmm, No. 65
- Total moment: 0.008 Bohr magnetons per cell

Density functional theory data (PBE-GGA) for a relaxed structure of AsAuCl.

a b c (Å): 4.608 4.608 4.608
angles (deg): 60.00 60.00 60.00
Sites, in units of the cell vectors:
As1 0.750 0.750 0.750
Au1 0.000 0.000 0.000
Cl1 0.500 0.500 0.500

- Final energy: -2.87 eV/atom
- Space group: F-43m, No. 216
- Total moment: 0.000 Bohr magnetons per cell

Density functional theory data (PBE-GGA) for a relaxed structure of Pr3SbP2Pt9.

a b c (Å): 7.412 7.412 6.687
angles (deg): 90.00 90.00 120.00
Sites, in units of the cell vectors:
Pr1 0.667 0.333 0.334
Pr2 0.000 0.000 0.000
Pr3 0.333 0.667 0.666
Pt1 0.820 0.180 0.681
Pt2 0.500 0.000 0.000
Pt3 0.180 0.361 0.319
Pt4 0.820 0.639 0.681
Pt5 0.361 0.180 0.681
Pt6 0.639 0.820 0.319
Pt7 0.500 0.500 0.000
Pt8 0.180 0.820 0.319
Pt9 0.000 0.500 0.000
P1 0.667 0.333 0.866
P2 0.333 0.667 0.134
Sb1 0.000 0.000 0.500

- Final energy: -6.24 eV/atom
- Space group: P-3m1, No. 164
- Total moment: 0.000 Bohr magnetons per cell

Density functional theory data (PBE-GGA) for a relaxed structure of Pm2Hg5Pb.

a b c (Å): 6.562 6.562 6.699
angles (deg): 119.32 119.32 90.00
Sites, in units of the cell vectors:
Pb1 0.223 0.223 0.445
Hg1 0.722 0.722 0.944
Hg2 0.722 0.222 0.944
Hg3 0.222 0.222 0.944
Hg4 0.222 0.722 0.944
Hg5 0.722 0.722 0.443
Pm1 0.722 0.222 0.444
Pm2 0.222 0.722 0.444

- ΔE_f: -0.379 eV/atom
- Space group: I4mm, No. 107
- Total moment: 0.000 Bohr magnetons per cell

Density functional theory data (PBE-GGA) for a relaxed structure of Tb6Dy5Mg.

a b c (Å): 5.000 9.331 9.331
angles (deg): 106.76 105.53 105.53
Sites, in units of the cell vectors:
Tb1 0.752 0.919 0.585
Tb2 0.251 0.751 0.751
Tb3 0.749 0.249 0.249
Tb4 0.248 0.081 0.415
Tb5 0.248 0.415 0.081
Tb6 0.752 0.585 0.919
Mg1 0.000 0.000 0.000
Dy1 0.500 0.500 0.500
Dy2 0.000 0.665 0.335
Dy3 0.000 0.335 0.665
Dy4 0.500 0.168 0.832
Dy5 0.500 0.832 0.168

- ΔE_f: 0.019 eV/atom
- Space group: Immm, No. 71
- Total moment: 0.000 Bohr magnetons per cell

Density functional theory data (PBE-GGA) for a relaxed structure of CrTc5.

a b c (Å): 2.942 4.344 7.017
angles (deg): 108.03 90.00 90.00
Sites, in units of the cell vectors:
Tc1 0.000 0.319 0.638
Tc2 0.500 0.147 0.294
Tc3 0.500 0.500 0.000
Tc4 0.500 0.853 0.706
Tc5 0.000 0.681 0.362
Cr1 0.000 0.000 0.000

- ΔE_f: 0.113 eV/atom
- Space group: Cmmm, No. 65
- Total moment: 0.001 Bohr magnetons per cell

Density functional theory data (PBE-GGA) for a relaxed structure of Ni6RuRh2.

a b c (Å): 5.682 8.623 5.682
angles (deg): 65.84 93.93 65.84
Sites, in units of the cell vectors:
Ni1 0.089 0.571 0.817
Ni2 0.243 0.428 0.518
Ni3 0.852 0.928 0.580
Ni4 0.817 0.071 0.089
Ni5 0.911 0.429 0.183
Ni6 0.518 0.928 0.243
Ni7 0.757 0.572 0.482
Ni8 0.148 0.072 0.420
Ni9 0.482 0.072 0.757
Ni10 0.183 0.929 0.911
Ni11 0.580 0.428 0.852
Ni12 0.420 0.572 0.148
Rh1 0.760 0.251 0.576
Rh2 0.424 0.249 0.240
Rh3 0.240 0.749 0.424
Rh4 0.576 0.751 0.760
Ru1 0.909 0.750 0.091
Ru2 0.091 0.250 0.909

- ΔE_f: 0.127 eV/atom
- Space group: C2/c, No. 15
- Total moment: 11.483 Bohr magnetons per cell

Density functional theory data (PBE-GGA) for a relaxed structure of Ca2Nd6Er.

a b c (Å): 7.394 15.264 9.781
angles (deg): 129.94 55.30 127.34
Sites, in units of the cell vectors:
Nd1 0.982 0.439 0.277
Nd2 0.631 0.788 0.624
Nd3 0.018 0.561 0.723
Nd4 0.256 0.006 0.504
Nd5 0.744 0.994 0.496
Nd6 0.805 0.110 0.950
Nd7 0.195 0.890 0.050
Nd8 0.584 0.670 0.173
Nd9 0.369 0.212 0.376
Nd10 0.416 0.330 0.827
Nd11 0.857 0.218 0.383
Nd12 0.143 0.782 0.617
Ca1 0.914 0.329 0.829
Ca2 0.530 0.559 0.723
Ca3 0.470 0.441 0.277
Ca4 0.086 0.671 0.171
Er1 0.293 0.102 0.940
Er2 0.707 0.898 0.060

- ΔE_f: 0.048 eV/atom
- Space group: P-1, No. 2
- Total moment: 0.000 Bohr magnetons per cell

Density functional theory data (PBE-GGA) for a relaxed structure of SrGd6.

a b c (Å): 7.180 7.180 7.180
angles (deg): 109.47 109.47 109.47
Sites, in units of the cell vectors:
Gd1 0.750 0.500 0.250
Gd2 0.750 0.250 0.500
Gd3 0.250 0.750 0.500
Gd4 0.500 0.250 0.750
Gd5 0.250 0.500 0.750
Gd6 0.500 0.750 0.250
Sr1 0.000 0.000 0.000

- ΔE_f: 1.143 eV/atom
- Space group: Im-3m, No. 229
- Total moment: 44.523 Bohr magnetons per cell